{
  "formula": "InHg2O",
  "functional": "GGA-PBE",
  "state": "relaxed",
  "cell": [[0.000, 3.486, 3.486], [3.486, 0.000, 3.486], [3.486, 3.486, 0.000]],
  "species": ["In", "Hg", "Hg", "O"],
  "frac_coords": [[0.000, 0.000, 0.000], [0.250, 0.250, 0.250], [0.750, 0.750, 0.750], [0.500, 0.500, 0.500]],
  "dft_energy_ev_per_atom": -1.835
}



{
  "formula": "CaCePrNd",
  "functional": "GGA-PBE",
  "state": "relaxed",
  "cell": [[0.000, 4.160, 4.160], [4.160, 0.000, 4.160], [4.160, 4.160, 0.000]],
  "species": ["Ca", "Ce", "Pr", "Nd"],
  "frac_coords": [[0.000, 0.000, 0.000], [0.500, 0.500, 0.500], [0.750, 0.750, 0.750], [0.250, 0.250, 0.250]],
  "formation_enthalpy_0k_ev_per_atom": 0.227
}



{
  "formula": "MgCd3Au4",
  "functional": "GGA-PBE",
  "state": "relaxed",
  "cell": [[3.195, 0.000, 0.000], [0.000, 3.195, 0.000], [0.000, 0.000, 14.961]],
  "species": ["Mg", "Cd", "Cd", "Cd", "Au", "Au", "Au", "Au"],
  "frac_coords": [[0.000, 0.000, 0.000], [0.000, 0.000, 0.244], [0.000, 0.000, 0.500], [0.000, 0.000, 0.756], [0.500, 0.500, 0.114], [0.500, 0.500, 0.372], [0.500, 0.500, 0.628], [0.500, 0.500, 0.886]],
  "formation_enthalpy_0k_ev_per_atom": -0.281
}



{
  "formula": "LiMnAlZn2",
  "functional": "GGA-PBE",
  "state": "relaxed",
  "cell": [[4.737, 0.000, 0.000], [0.000, 4.737, 0.000], [0.000, 0.000, 4.698]],
  "species": ["Li", "Mn", "Al", "Zn", "Zn"],
  "frac_coords": [[0.000, 0.000, 0.000], [0.000, 0.000, 0.500], [0.500, 0.500, 0.000], [0.000, 0.500, 0.500], [0.500, 0.000, 0.500]],
  "formation_enthalpy_0k_ev_per_atom": 0.711
}



{
  "formula": "Tb3SnSb",
  "functional": "GGA-PBE",
  "state": "relaxed",
  "cell": [[8.523, -2.334, 0.000], [8.523, 2.334, 0.000], [-0.606, 0.000, 8.550]],
  "species": ["Tb", "Tb", "Tb", "Tb", "Tb", "Tb", "Sn", "Sn", "Sb", "Sb"],
  "frac_coords": [[0.039, 0.039, 0.267], [0.172, 0.172, 0.949], [0.262, 0.262, 0.351], [0.738, 0.738, 0.649], [0.828, 0.828, 0.051], [0.961, 0.961, 0.733], [0.347, 0.347, 0.815], [0.653, 0.653, 0.185], [0.119, 0.119, 0.594], [0.881, 0.881, 0.406]],
  "dft_energy_ev_per_atom": -4.913
}



{
  "formula": "Pm5Tl2Ni2",
  "functional": "GGA-PBE",
  "state": "relaxed",
  "cell": [[8.087, -4.285, 0.000], [8.087, 4.285, 0.000], [0.000, 0.000, 7.121]],
  "species": ["Pm", "Pm", "Pm", "Pm", "Pm", "Pm", "Pm", "Pm", "Pm", "Pm", "Tl", "Tl", "Tl", "Tl", "Ni", "Ni", "Ni", "Ni"],
  "frac_coords": [[0.000, 0.000, 0.000], [0.063, 0.702, 0.648], [0.202, 0.563, 0.148], [0.298, 0.937, 0.648], [0.437, 0.798, 0.148], [0.500, 0.500, 0.500], [0.563, 0.202, 0.852], [0.702, 0.063, 0.352], [0.798, 0.437, 0.852], [0.937, 0.298, 0.352], [0.215, 0.215, 0.000], [0.285, 0.285, 0.500], [0.715, 0.715, 0.500], [0.785, 0.785, 0.000], [0.106, 0.894, 0.371], [0.394, 0.606, 0.871], [0.606, 0.394, 0.129], [0.894, 0.106, 0.629]],
  "formation_enthalpy_0k_ev_per_atom": -0.282
}



{
  "formula": "KMg3P",
  "functional": "GGA-PBE",
  "state": "relaxed",
  "cell": [[5.262, 0.000, 0.000], [0.000, 5.262, 0.000], [0.000, 0.000, 5.262]],
  "species": ["K", "Mg", "Mg", "Mg", "P"],
  "frac_coords": [[0.000, 0.000, 0.000], [0.000, 0.500, 0.500], [0.500, 0.000, 0.500], [0.500, 0.500, 0.000], [0.500, 0.500, 0.500]],
  "formation_enthalpy_0k_ev_per_atom": 0.100
}



{
  "formula": "La6SiRu2I3",
  "functional": "GGA-PBE",
  "state": "relaxed",
  "cell": [[3.744, -6.455, 0.000], [3.744, 6.455, 0.000], [-2.561, 0.000, 8.117]],
  "species": ["La", "La", "La", "La", "La", "La", "Si", "Ru", "Ru", "I", "I", "I"],
  "frac_coords": [[0.093, 0.446, 0.811], [0.210, 0.210, 0.186], [0.446, 0.093, 0.811], [0.554, 0.907, 0.189], [0.790, 0.790, 0.814], [0.907, 0.554, 0.189], [0.500, 0.500, 0.000], [0.168, 0.832, 0.000], [0.832, 0.168, 0.000], [0.000, 0.000, 0.500], [0.338, 0.662, 0.500], [0.662, 0.338, 0.500]],
  "dft_energy_ev_per_atom": -5.691
}



{
  "formula": "Sb2PtPb",
  "functional": "GGA-PBE",
  "state": "relaxed",
  "cell": [[4.407, 0.000, 0.000], [0.000, 4.028, 0.000], [-2.094, 0.000, 5.822]],
  "species": ["Sb", "Sb", "Pt", "Pb"],
  "frac_coords": [[0.000, 0.000, 0.000], [0.392, 0.500, 0.790], [0.167, 0.500, 0.335], [0.715, 0.000, 0.439]],
  "dft_energy_ev_per_atom": -4.580
}



{
  "formula": "La2DyRh2",
  "functional": "GGA-PBE",
  "state": "relaxed",
  "cell": [[9.261, 0.000, 0.000], [0.000, 5.702, 0.000], [0.000, 0.000, 10.385]],
  "species": ["La", "La", "La", "La", "La", "La", "La", "La", "Dy", "Dy", "Dy", "Dy", "Rh", "Rh", "Rh", "Rh", "Rh", "Rh", "Rh", "Rh"],
  "frac_coords": [[0.037, 0.250, 0.153], [0.122, 0.250, 0.558], [0.378, 0.750, 0.058], [0.463, 0.750, 0.653], [0.537, 0.250, 0.347], [0.622, 0.250, 0.942], [0.878, 0.750, 0.442], [0.963, 0.750, 0.847], [0.248, 0.250, 0.856], [0.252, 0.750, 0.356], [0.748, 0.250, 0.644], [0.752, 0.750, 0.144], [0.051, 0.750, 0.154], [0.143, 0.750, 0.599], [0.357, 0.250, 0.099], [0.449, 0.250, 0.654], [0.551, 0.750, 0.346], [0.643, 0.750, 0.901], [0.857, 0.250, 0.401], [0.949, 0.250, 0.846]],
  "formation_enthalpy_0k_ev_per_atom": -0.585
}



{
  "formula": "CaSnHg3",
  "functional": "GGA-PBE",
  "state": "relaxed",
  "cell": [[7.337, 0.000, 0.000], [0.000, 7.337, 0.000], [0.000, 0.000, 7.337]],
  "species": ["Ca", "Ca", "Ca", "Sn", "Sn", "Sn", "Hg", "Hg", "Hg", "Hg", "Hg", "Hg", "Hg", "Hg", "Hg"],
  "frac_coords": [[0.000, 0.000, 0.500], [0.000, 0.500, 0.000], [0.500, 0.000, 0.000], [0.000, 0.500, 0.500], [0.500, 0.000, 0.500], [0.500, 0.500, 0.000], [0.000, 0.000, 0.000], [0.263, 0.263, 0.263], [0.263, 0.263, 0.737], [0.263, 0.737, 0.263], [0.263, 0.737, 0.737], [0.737, 0.263, 0.263], [0.737, 0.263, 0.737], [0.737, 0.737, 0.263], [0.737, 0.737, 0.737]],
  "formation_enthalpy_0k_ev_per_atom": -0.305
}